A plane-wave DFT calculation with SCAN was carried out for a PBEsol-optimized structure of Zr2CdW.

Properties
- Space-group type: Cm, No. 8
- E_tot: -160.6 eV/f.u.

Unit cell a=5.375 b=5.375 c=5.281 alpha=99.23 beta=99.23 gamma=31.20
Positions (direct):
Zr: 0.000 0.000 0.000
Zr: 0.225 0.225 0.685
Cd: 0.752 0.752 0.202
W: 0.478 0.478 0.494